An optimized crystal structure of SrCaAg5. Source: Alexandria via LeMat-Bulk, functional PBE-GGA.

abc: 9.6753 5.5465 12.4849
angles: 90.00 90.00 90.00
Last column: nearest neighbours and their distance in Å.
Positions (direct):
Sr 0.1407 0.2500 0.1330  10 Ag 3.18-3.39
Sr 0.3593 0.7500 0.6330  10 Ag 3.18-3.39
Sr 0.6407 0.2500 0.3670  10 Ag 3.18-3.39
Sr 0.8593 0.7500 0.8670  10 Ag 3.18-3.39
Ca 0.2441 0.2500 0.4318  10 Ag 3.24-3.60
Ca 0.2559 0.7500 0.9318  10 Ag 3.24-3.60
Ca 0.7441 0.2500 0.0682  10 Ag 3.24-3.60
Ca 0.7559 0.7500 0.5682  10 Ag 3.24-3.60
Ag 0.0311 0.2500 0.8929  4 Ag 2.92-3.14, 3 Sr 3.18-3.25
Ag 0.0629 0.5009 0.6876  7 Ag 2.76-2.97
Ag 0.0629 0.9991 0.6876  7 Ag 2.76-2.97
Ag 0.0733 0.7500 0.4859  7 Ag 2.86-3.13
Ag 0.2047 0.7500 0.2805  7 Ag 2.86-3.14
Ag 0.2953 0.2500 0.7805  7 Ag 2.86-3.14
Ag 0.4267 0.2500 0.9859  7 Ag 2.86-3.13
Ag 0.4371 0.0009 0.1876  7 Ag 2.76-2.97
Ag 0.4371 0.4991 0.1876  7 Ag 2.76-2.97
Ag 0.4689 0.7500 0.3929  4 Ag 2.92-3.14, 3 Sr 3.18-3.25
Ag 0.5311 0.2500 0.6071  4 Ag 2.92-3.14, 3 Sr 3.18-3.25
Ag 0.5629 0.5009 0.8124  7 Ag 2.76-2.97
Ag 0.5629 0.9991 0.8124  7 Ag 2.76-2.97
Ag 0.5733 0.7500 0.0141  7 Ag 2.86-3.13
Ag 0.7047 0.7500 0.2195  7 Ag 2.86-3.14
Ag 0.7953 0.2500 0.7195  7 Ag 2.86-3.14
Ag 0.9267 0.2500 0.5141  7 Ag 2.86-3.13
Ag 0.9371 0.0009 0.3124  7 Ag 2.76-2.97
Ag 0.9371 0.4991 0.3124  7 Ag 2.76-2.97
Ag 0.9689 0.7500 0.1071  4 Ag 2.92-3.14, 3 Sr 3.18-3.25

Total energy, eV per cell: -77.16
Magnetic moment, μB per formula unit: 0.00
Formation energy, eV/atom: -0.193